DFT (GGA-PBE) results for a relaxed structure of Pr2Ni2Ir.

Values from the calculation:
total moment: 0.00 μB/f.u.
formation enthalpy at 0 K: -0.308 eV/atom
DFT total energy: -6.30 eV/atom
density: 9.96 g cm⁻³
polymorph energy (0 for the lowest one): 103.8 meV/atom

Cell: 6.973 6.973 4.056 Å, 90.00 90.00 90.00°
Space group P4/mbm (No. 127)
Asymmetric unit:
Pr: 0.186 0.314 0.000
Ni: 0.121 0.621 0.500
Ir: 0.000 0.000 0.500

---

DFT (GGA-PBE) results for a relaxed structure of La7Y2Th.

Values from the calculation:
total moment: 0.00 μB/f.u.
formation enthalpy at 0 K: 0.347 eV/atom
DFT total energy: -5.14 eV/atom
density: 6.15 g cm⁻³

Cell: 12.285 17.331 3.507 Å, 90.00 90.00 90.00°
Space group Cmmm (No. 65)
Asymmetric unit:
La: 0.000 0.000 0.000
La: 0.000 0.176 0.500
La: 0.245 0.128 0.000
Y: 0.000 0.336 0.000
Th: 0.000 0.500 0.500

---

DFT (GGA-PBE) results for a relaxed structure of Cs2RbAgHg.

Values from the calculation:
total moment: 0.00 μB/f.u.
formation enthalpy at 0 K: -0.092 eV/atom
DFT total energy: -1.26 eV/atom
density: 4.01 g cm⁻³
polymorph energy (0 for the lowest one): 0.0 meV/atom

Cell: 8.279 5.406 12.195 Å, 90.00 90.20 90.00°
Space group P2_1/m (No. 11)
Asymmetric unit:
Cs: 0.245 0.250 0.054
Cs: 0.246 0.250 0.449
Rb: 0.239 0.750 0.751
Ag: 0.076 0.750 0.251
Hg: 0.430 0.750 0.251

---

DFT (GGA-PBE) results for a relaxed structure of KLa2Tl.

Values from the calculation:
total moment: 0.00 μB/f.u.
formation enthalpy at 0 K: 0.114 eV/atom
DFT total energy: -3.22 eV/atom
density: 6.27 g cm⁻³
polymorph energy (0 for the lowest one): 130.6 meV/atom

Cell: 8.205 8.205 8.205 Å, 90.00 90.00 90.00°
Space group Fm-3m (No. 225)
Asymmetric unit:
K: 0.000 0.000 0.000
La: 0.250 0.250 0.250
Tl: 0.000 0.000 0.500

---

DFT (GGA-PBE) results for a relaxed structure of CaSmGe.

Values from the calculation:
total moment: 0.00 μB/f.u.
formation enthalpy at 0 K: -0.402 eV/atom
DFT total energy: -4.18 eV/atom
density: 5.07 g cm⁻³

Cell: 14.266 3.456 7.211 Å, 90.00 104.13 90.00°
Space group C2/m (No. 12)
Asymmetric unit:
Ca: 0.132 0.000 0.067
Sm: 0.138 0.000 0.565
Ge: 0.002 0.500 0.743

---

DFT (GGA-PBE) results for a relaxed structure of PrZnNiGe2.

Values from the calculation:
total moment: 0.00 μB/f.u.
formation enthalpy at 0 K: -0.580 eV/atom
DFT total energy: -4.79 eV/atom
density: 7.51 g cm⁻³

Cell: 4.158 4.158 10.494 Å, 90.00 90.00 90.00°
Space group I-4m2 (No. 119)
Asymmetric unit:
Pr: 0.000 0.000 0.000
Zn: 0.000 0.500 0.250
Ni: 0.000 0.500 0.750
Ge: 0.000 0.000 0.378

---

DFT (GGA-PBE) results for a relaxed structure of BaMoCl2.

Values from the calculation:
total moment: 4.57 μB/f.u.
DFT total energy: -4.42 eV/atom
formation energy from raw total energies: -1.2 eV/f.u.
density: 3.74 g cm⁻³
polymorph energy (0 for the lowest one): 231.9 meV/atom

Cell: 7.464 8.560 5.595 Å, 90.00 131.00 90.00°
Space group C2/m (No. 12)
Asymmetric unit:
Ba: 0.000 0.000 0.000
Mo: 0.000 0.500 0.000
Cl: 0.250 0.250 0.500

---

DFT (GGA-PBE) results for a relaxed structure of BaMgAl2.

Values from the calculation:
total moment: 0.00 μB/f.u.
formation enthalpy at 0 K: 0.210 eV/atom
DFT total energy: -2.54 eV/atom
density: 3.32 g cm⁻³

Cell: 6.964 9.614 3.223 Å, 90.00 90.00 90.00°
Space group Cmmm (No. 65)
Asymmetric unit:
Ba: 0.000 0.000 0.000
Mg: 0.000 0.500 0.000
Al: 0.250 0.250 0.500

---

DFT (GGA-PBE) results for a relaxed structure of Sc3C.

Values from the calculation:
total moment: 0.01 μB/f.u.
formation enthalpy at 0 K: 0.116 eV/atom
DFT total energy: -6.94 eV/atom
density: 2.61 g cm⁻³
polymorph energy (0 for the lowest one): 383.6 meV/atom

Cell: 4.538 4.538 4.538 Å, 90.00 90.00 90.00°
Space group Pm-3m (No. 221)
Asymmetric unit:
Sc: 0.000 0.000 0.500
C: 0.000 0.000 0.000

---

DFT (GGA-PBE) results for a relaxed structure of Ac5SmMg6.

Values from the calculation:
total moment: 0.00 μB/f.u.
formation enthalpy at 0 K: -0.077 eV/atom
DFT total energy: -2.98 eV/atom
density: 5.86 g cm⁻³

Cell: 5.756 8.146 9.102 Å, 90.00 108.30 90.00°
Space group P2/m (No. 10)
Asymmetric unit:
Ac: 0.000 0.000 0.000
Ac: 0.331 0.000 0.662
Ac: 0.334 0.500 0.667
Sm: 0.000 0.500 0.000
Mg: 0.162 0.258 0.324
Mg: 0.500 0.261 0.000

---

DFT (GGA-PBE) results for a relaxed structure of NaAgBiSe2.

Values from the calculation:
total moment: 0.00 μB/f.u.
DFT total energy: -3.37 eV/atom
formation energy from raw total energies: -1.8 eV/f.u.
density: 5.95 g cm⁻³

Cell: 7.228 4.608 8.501 Å, 90.00 101.07 90.00°
Space group P2/c (No. 13)
Asymmetric unit:
Na: 0.000 0.145 0.250
Ag: 0.500 0.000 0.000
Bi: 0.500 0.490 0.750
Se: 0.216 0.350 0.957

---

DFT (GGA-PBE) results for a relaxed structure of Cu2BrCl.

Values from the calculation:
total moment: 0.00 μB/f.u.
DFT total energy: -3.21 eV/atom
formation energy from raw total energies: -1.1 eV/f.u.
density: 4.71 g cm⁻³
polymorph energy (0 for the lowest one): 23.4 meV/atom

Cell: 6.938 3.999 6.589 Å, 90.00 110.68 90.00°
Space group Cm (No. 8)
Asymmetric unit:
Cu: 0.000 0.000 0.000
Cu: 0.142 0.000 0.430
Br: 0.345 0.500 0.537
Cl: 0.344 0.000 0.032

---

DFT (GGA-PBE) results for a relaxed structure of CeAl11Rh.

Values from the calculation:
total moment: 0.23 μB/f.u.
formation enthalpy at 0 K: -0.316 eV/atom
DFT total energy: -4.50 eV/atom
density: 4.03 g cm⁻³

Cell: 5.215 12.660 7.165 Å, 90.00 109.71 90.00°
Space group C2/m (No. 12)
Asymmetric unit:
Ce: 0.000 0.000 0.000
Al: 0.000 0.000 0.500
Al: 0.108 0.392 0.224
Al: 0.183 0.175 0.357
Al: 0.250 0.250 0.000
Rh: 0.000 0.500 0.500

---

DFT (GGA-PBE) results for a relaxed structure of SbAsCI2.

Values from the calculation:
total moment: 0.00 μB/f.u.
DFT total energy: -2.93 eV/atom
formation energy from raw total energies: 6.4 eV/f.u.
density: 6.36 g cm⁻³
polymorph energy (0 for the lowest one): 0.0 meV/atom

Cell: 5.010 5.010 4.811 Å, 90.00 90.00 90.00°
Space group P4/mmm (No. 123)
Asymmetric unit:
Sb: 0.000 0.000 0.000
As: 0.500 0.500 0.000
C: 0.000 0.000 0.500
I: 0.000 0.500 0.500

---

DFT (GGA-PBE) results for a relaxed structure of CsMgRu2.

Values from the calculation:
total moment: 0.00 μB/f.u.
formation enthalpy at 0 K: 1.186 eV/atom
DFT total energy: -4.06 eV/atom
density: 5.83 g cm⁻³

Cell: 4.590 4.590 19.450 Å, 90.00 90.00 90.00°
Space group I-42d (No. 122)
Asymmetric unit:
Cs: 0.000 0.000 0.000
Mg: 0.000 0.000 0.500
Ru: 0.102 0.250 0.625

---

DFT (GGA-PBE) results for a relaxed structure of SrLu2.

Values from the calculation:
total moment: 0.01 μB/f.u.
formation enthalpy at 0 K: 0.181 eV/atom
DFT total energy: -3.39 eV/atom
density: 6.81 g cm⁻³
polymorph energy (0 for the lowest one): 0.0 meV/atom

Cell: 3.683 3.683 15.718 Å, 90.00 90.00 90.00°
Space group I4/mmm (No. 139)
Asymmetric unit:
Sr: 0.000 0.000 0.000
Lu: 0.000 0.000 0.318

---

DFT (GGA-PBE) results for a relaxed structure of Al2InTc.

Values from the calculation:
total moment: 0.80 μB/f.u.
formation enthalpy at 0 K: 0.179 eV/atom
DFT total energy: -4.97 eV/atom
density: 6.50 g cm⁻³

Cell: 5.566 8.802 2.984 Å, 90.00 111.06 90.00°
Space group C2/m (No. 12)
Asymmetric unit:
Al: 0.250 0.250 0.000
In: 0.000 0.000 0.500
Tc: 0.000 0.500 0.500

---

DFT (GGA-PBE) results for a relaxed structure of Mn2Sb5Pd12.

Values from the calculation:
total moment: 8.23 μB/f.u.
DFT total energy: -5.56 eV/atom
formation energy from raw total energies: -4.3 eV/f.u.
density: 9.13 g cm⁻³

Cell: 13.668 5.668 9.400 Å, 90.00 94.85 90.00°
Space group C2/m (No. 12)
Asymmetric unit:
Mn: 0.000 0.248 0.000
Sb: 0.000 0.500 0.500
Sb: 0.168 0.000 0.897
Sb: 0.186 0.000 0.403
Pd: 0.004 0.500 0.225
Pd: 0.011 0.000 0.249
Pd: 0.150 0.252 0.639
Pd: 0.175 0.248 0.149

---

DFT (GGA-PBE) results for a relaxed structure of ScMnC3.

Values from the calculation:
total moment: 0.00 μB/f.u.
formation enthalpy at 0 K: 0.988 eV/atom
DFT total energy: -7.65 eV/atom
density: 4.30 g cm⁻³
polymorph energy (0 for the lowest one): 0.0 meV/atom

Cell: 3.743 3.743 3.743 Å, 90.00 90.00 90.00°
Space group Pm-3m (No. 221)
Asymmetric unit:
Sc: 0.000 0.000 0.000
Mn: 0.500 0.500 0.500
C: 0.000 0.500 0.500

---

DFT (GGA-PBE) results for a relaxed structure of Ca2Ga7Ag12.

Values from the calculation:
total moment: 0.00 μB/f.u.
formation enthalpy at 0 K: -0.120 eV/atom
DFT total energy: -2.95 eV/atom
density: 7.55 g cm⁻³

Cell: 10.7131 10.7131 4.1235 Å, 90.00 90.00 120.00°
Space group P-3 (No. 147)
Asymmetric unit:
Ca: 0.3333 0.6667 0.2446
Ga: 0.0000 0.0000 0.5000
Ga: 0.1249 0.7078 0.7436
Ag: 0.0544 0.4337 0.7513
Ag: 0.1162 0.2602 0.2355

---

DFT (GGA-PBE) results for a relaxed structure of KTlSn.

Values from the calculation:
total moment: 0.00 μB/f.u.
formation enthalpy at 0 K: -0.162 eV/atom
DFT total energy: -2.65 eV/atom
density: 5.93 g cm⁻³

Cell: 8.793 5.309 8.695 Å, 90.00 90.00 90.00°
Space group Pnma (No. 62)
Asymmetric unit:
K: 0.002 0.250 0.184
Tl: 0.169 0.750 0.411
Sn: 0.180 0.250 0.594

---

DFT (GGA-PBE) results for a relaxed structure of DyTm3Pd6.

Values from the calculation:
total moment: 0.00 μB/f.u.
formation enthalpy at 0 K: -0.887 eV/atom
DFT total energy: -5.80 eV/atom
density: 11.01 g cm⁻³

Cell: 8.255 4.868 10.249 Å, 90.00 106.73 90.00°
Space group P2_1/m (No. 11)
Asymmetric unit:
Dy: 0.065 0.250 0.387
Tm: 0.213 0.250 0.013
Tm: 0.358 0.750 0.808
Tm: 0.478 0.250 0.613
Pd: 0.077 0.750 0.900
Pd: 0.147 0.750 0.201
Pd: 0.159 0.250 0.702
Pd: 0.249 0.750 0.516
Pd: 0.364 0.250 0.304
Pd: 0.447 0.750 0.094

---

DFT (GGA-PBE) results for a relaxed structure of KSc3Re.

Values from the calculation:
total moment: 0.00 μB/f.u.
formation enthalpy at 0 K: 0.345 eV/atom
DFT total energy: -6.16 eV/atom
density: 4.15 g cm⁻³
polymorph energy (0 for the lowest one): 0.0 meV/atom

Cell: 5.242 5.242 5.242 Å, 90.00 90.00 90.00°
Space group Pm-3m (No. 221)
Asymmetric unit:
K: 0.000 0.000 0.000
Sc: 0.000 0.500 0.500
Re: 0.500 0.500 0.500